Entry 1:
Density functional theory data (GGA-PBE) for a geometry-optimized Tl2Ga structure.

abc: 6.3564 6.3564 6.3564
angles: 60.00 60.00 60.00
Atoms (fractional coordinates):
Tl  0.1250  0.6250  0.6250
Tl  0.6250  0.1250  0.6250
Tl  0.6250  0.6250  0.6250
Tl  0.6250  0.6250  0.1250
Ga  0.0000  0.0000  0.0000
Ga  0.2500  0.2500  0.2500

Results
Its energy of formation is 0.270 eV per atom. As for the space-group type: No. 227. For the distance to the lowest polymorph of the same formula, the calculation gives 0.195 eV/atom. The calculation puts the total energy at -0.1703 Ry per atom.

=====

Entry 2:
Density functional theory data (GGA-PBE) for a geometry-optimized ErMn9B4 structure.

abc: 7.2786 7.2786 7.6244
angles: 118.51 118.51 90.00
Atoms (fractional coordinates):
Er  0.7500  0.7500  0.5000
Er  0.2500  0.2500  0.5000
Mn  0.0812  0.1871  0.0000
Mn  0.9188  0.8129  0.0000
Mn  0.5812  0.3129  0.0000
Mn  0.4188  0.6871  0.0000
Mn  0.3129  0.4188  0.0000
Mn  0.6871  0.5812  0.0000
Mn  0.1871  0.9188  0.0000
Mn  0.8129  0.0812  0.0000
Mn  0.0000  0.5000  0.0000
Mn  0.5000  0.0000  0.0000
Mn  0.8136  0.3136  0.3624
Mn  0.5489  0.0489  0.3624
Mn  0.9511  0.1864  0.6376
Mn  0.6864  0.4511  0.6376
Mn  0.1864  0.6864  0.6376
Mn  0.4511  0.9511  0.6376
Mn  0.3136  0.5489  0.3624
Mn  0.0489  0.8136  0.3624
B  0.2931  0.7931  0.2556
B  0.9625  0.4625  0.2556
B  0.5375  0.7069  0.7444
B  0.2069  0.0375  0.7444
B  0.7069  0.2069  0.7444
B  0.0375  0.5375  0.7444
B  0.7931  0.9625  0.2556
B  0.4625  0.2931  0.2556

Results
Its energy of formation is -0.102 eV per atom. As for the space-group type: No. 140. The calculation puts the total energy at -0.6050 Ry per atom.

=====

Entry 3:
Density functional theory data (GGA-PBE) for a geometry-optimized CaIrSe2 structure.

abc: 6.4284 6.4284 4.0799
angles: 103.06 103.06 36.54
Atoms (fractional coordinates):
Ca  0.4631  0.4631  0.5621
Ir  0.2279  0.2279  0.0249
Se  0.0350  0.0350  0.1023
Se  0.7740  0.7740  0.8107

Results
As for the space-group type: No. 8. For the distance to the lowest polymorph of the same formula, the calculation gives 0.159 eV/atom. The calculation puts the total energy at -0.3707 Ry per atom.

=====

Entry 4:
Density functional theory data (GGA-PBE) for a geometry-optimized SbAsRh3 structure.

abc: 4.5367 6.4620 7.6361
angles: 120.91 90.49 110.02
Atoms (fractional coordinates):
Sb  0.3832  0.7537  0.5833
Sb  0.6168  0.2463  0.4167
As  0.0957  0.1880  0.8731
As  0.9043  0.8120  0.1269
Rh  0.8819  0.7383  0.7789
Rh  0.1181  0.2617  0.2211
Rh  0.6664  0.3340  0.8663
Rh  0.3336  0.6660  0.1337
Rh  0.8582  0.7071  0.3897
Rh  0.1418  0.2929  0.6103

Results
As for the space-group type: No. 2. For the distance to the lowest polymorph of the same formula, the calculation gives 0.000 eV/atom. The calculation puts the total energy at -0.4700 Ry per atom.

=====

Entry 5:
Density functional theory data (GGA-PBE) for a geometry-optimized Pr2Si2Ge3 structure.

abc: 4.4894 4.0739 8.9775
angles: 90.00 75.75 90.00
Atoms (fractional coordinates):
Pr  0.1406  0.5000  0.7210
Pr  0.8594  0.5000  0.2790
Si  0.4268  0.0000  0.1495
Si  0.5732  0.0000  0.8505
Ge  0.2841  0.0000  0.4301
Ge  0.0000  0.0000  0.0000
Ge  0.7159  0.0000  0.5699

Results
As for the space-group type: No. 10. The calculation puts the total energy at -0.3864 Ry per atom.

=====

Entry 6:
Density functional theory data (GGA-PBE) for a geometry-optimized Y2AlIn structure.

abc: 5.3625 5.3625 3.5270
angles: 90.00 90.00 81.92
Atoms (fractional coordinates):
Y  0.0000  0.0000  0.0000
Y  0.5000  0.5000  0.0000
Al  0.5000  0.0000  0.5000
In  0.0000  0.5000  0.5000

Results
Its energy of formation is -0.435 eV per atom. As for the space-group type: No. 65. The calculation puts the total energy at -0.3886 Ry per atom.

=====

Entry 7:
Density functional theory data (GGA-PBE) for a geometry-optimized MgSb2TeAu structure.

abc: 5.3875 5.3875 5.5548
angles: 90.00 90.00 90.00
Atoms (fractional coordinates):
Sb  0.0000  0.5000  0.0000
Sb  0.5000  0.0000  0.0000
Mg  0.5000  0.5000  0.5000
Te  0.0000  0.0000  0.5000
Au  0.0000  0.0000  0.0000

Results
As for the space-group type: No. 123. For the distance to the lowest polymorph of the same formula, the calculation gives 0.000 eV/atom. The calculation puts the total energy at -0.2049 Ry per atom.

=====

Entry 8:
Density functional theory data (GGA-PBE) for a geometry-optimized MgCu2TcRu structure.

abc: 4.2671 4.6428 4.2671
angles: 90.00 90.00 90.00
Atoms (fractional coordinates):
Ru  0.5000  0.5000  0.5000
Mg  0.0000  0.0000  0.0000
Tc  0.0000  0.5000  0.0000
Cu  0.0000  0.0000  0.5000
Cu  0.5000  0.0000  0.0000

Results
Its energy of formation is 1.660 eV per atom. As for the space-group type: No. 123. The calculation puts the total energy at -0.3106 Ry per atom.

=====

Entry 9:
Density functional theory data (GGA-PBE) for a geometry-optimized LaBeReO2 structure.

abc: 4.1907 6.4328 4.1907
angles: 90.00 90.00 90.00
Atoms (fractional coordinates):
Re  0.5000  0.5000  0.5000
Be  0.0000  0.5000  0.0000
O  0.0000  0.0000  0.5000
O  0.5000  0.0000  0.0000
La  0.0000  0.0000  0.0000

Results
As for the space-group type: No. 123. The calculation puts the total energy at -0.4265 Ry per atom.

=====

Entry 10:
Density functional theory data (GGA-PBE) for a geometry-optimized Mn5Be2CrRe2 structure.

abc: 2.9147 8.6376 8.6376
angles: 90.00 90.00 90.00
Atoms (fractional coordinates):
Mn  0.5000  0.2047  0.0656
Mn  0.5000  0.7953  0.9344
Mn  0.5000  0.0656  0.7953
Mn  0.5000  0.7047  0.4344
Mn  0.5000  0.9344  0.2047
Mn  0.5000  0.2953  0.5656
Mn  0.5000  0.5656  0.7047
Mn  0.5000  0.4344  0.2953
Mn  0.5000  0.5000  0.0000
Mn  0.5000  0.0000  0.5000
Be  0.0000  0.1244  0.6244
Be  0.0000  0.8756  0.3756
Be  0.0000  0.6244  0.8756
Be  0.0000  0.3756  0.1244
Cr  0.0000  0.0000  0.0000
Cr  0.0000  0.5000  0.5000
Re  0.0000  0.6738  0.1738
Re  0.0000  0.3262  0.8262
Re  0.0000  0.1738  0.3262
Re  0.0000  0.8262  0.6738

Results
Its energy of formation is -0.005 eV per atom. As for the space-group type: No. 127. The calculation puts the total energy at -0.6458 Ry per atom.

=====

Entry 11:
Density functional theory data (GGA-PBE) for a geometry-optimized RbAc2Hg2O6 structure.

abc: 7.1287 7.7278 7.3023
angles: 123.19 89.66 62.76
Atoms (fractional coordinates):
Rb  0.5000  0.0000  0.5000
Ac  0.8243  0.3504  0.8186
Ac  0.1757  0.6496  0.1814
Hg  0.8974  0.8180  0.8094
Hg  0.1026  0.1820  0.1906
O  0.4400  0.4862  0.8359
O  0.1373  0.2803  0.9954
O  0.9311  0.9033  0.6017
O  0.8627  0.7197  0.0046
O  0.0689  0.0967  0.3983
O  0.5600  0.5138  0.1641

Results
As for the space-group type: No. 2. The calculation puts the total energy at -0.3936 Ry per atom.

=====

Entry 12:
Density functional theory data (GGA-PBE) for a geometry-optimized DyScSe2 structure.

abc: 3.9817 3.9817 6.8714
angles: 73.16 73.16 60.00
Atoms (fractional coordinates):
Sc  0.0000  0.0000  0.0000
Se  0.2551  0.2551  0.2346
Se  0.7449  0.7449  0.7654
Dy  0.5000  0.5000  0.5000

Results
As for the space-group type: No. 166. For the distance to the lowest polymorph of the same formula, the calculation gives 0.014 eV/atom. The calculation puts the total energy at -0.4514 Ry per atom.

=====

Question: What is the total energy in the fourth record?
Answer: -0.4700 Ry per atom